[1]
Entry from Alexandria: Pm4As2SeS after structural relaxation (GGA-PBE).

Calculated values
**SG**: P2/m
**Formation energy without anion corrections**: -1.768 eV per atom
**Total magnetic moment**: 0.00 μB/cell

a = 7.238 Å, b = 4.189 Å, c = 7.255 Å
α = 90.00°, β = 109.58°, γ = 90.00°
Atoms (fractional coordinates):
1 Pm 0.244 0.000 0.243
2 Pm 0.247 0.500 0.754
3 Pm 0.753 0.500 0.246
4 Pm 0.756 0.000 0.757
5 As 0.000 0.000 0.500
6 As 0.000 0.500 0.000
7 Se 0.500 0.500 0.500
8 S 0.500 0.000 0.000


[2]
Entry from Alexandria: Pm6SiAs3S2 after structural relaxation (GGA-PBE).

Calculated values
**SG**: C2/m
**Formation energy without anion corrections**: -1.579 eV per atom
**Total magnetic moment**: 0.00 μB/cell

a = 9.337 Å, b = 9.337 Å, c = 8.360 Å
α = 102.77°, β = 102.77°, γ = 25.86°
Atoms (fractional coordinates):
1 Pm 0.001 0.001 0.248
2 Pm 0.334 0.334 0.416
3 Pm 0.334 0.334 0.917
4 Pm 0.666 0.666 0.083
5 Pm 0.666 0.666 0.584
6 Pm 0.999 0.999 0.752
7 Si 0.500 0.500 0.000
8 As 0.168 0.168 0.831
9 As 0.500 0.500 0.500
10 As 0.832 0.832 0.169
11 S 0.169 0.169 0.337
12 S 0.831 0.831 0.663


[3]
Entry from Alexandria: Pm4SiAs2S after structural relaxation (GGA-PBE).

Calculated values
**SG**: P2/m
**Formation energy without anion corrections**: -1.453 eV per atom
**Total magnetic moment**: 0.00 μB/cell

a = 7.266 Å, b = 4.182 Å, c = 7.274 Å
α = 90.00°, β = 109.39°, γ = 90.00°
Atoms (fractional coordinates):
1 Pm 0.248 0.000 0.250
2 Pm 0.248 0.500 0.752
3 Pm 0.752 0.000 0.750
4 Pm 0.752 0.500 0.248
5 Si 0.000 0.500 0.000
6 As 0.500 0.000 0.000
7 As 0.500 0.500 0.500
8 S 0.000 0.000 0.500


[4]
Entry from Alexandria: Pm6SiAs2S3 after structural relaxation (GGA-PBE).

Calculated values
**SG**: C2/m
**Formation energy without anion corrections**: -1.673 eV per atom
**Total magnetic moment**: 0.00 μB/cell

a = 9.272 Å, b = 9.272 Å, c = 8.280 Å
α = 102.58°, β = 102.58°, γ = 25.92°
Atoms (fractional coordinates):
1 Pm 0.001 0.001 0.253
2 Pm 0.334 0.334 0.916
3 Pm 0.335 0.335 0.420
4 Pm 0.665 0.665 0.580
5 Pm 0.666 0.666 0.084
6 Pm 0.999 0.999 0.747
7 Si 0.500 0.500 0.500
8 As 0.167 0.167 0.834
9 As 0.833 0.833 0.166
10 S 0.168 0.168 0.332
11 S 0.500 0.500 0.000
12 S 0.832 0.832 0.668


[5]
Entry from Alexandria: PmSmAsS after structural relaxation (GGA-PBE).

Calculated values
**SG**: R3m
**Formation energy without anion corrections**: -1.804 eV per atom
**Total magnetic moment**: 0.00 μB/cell

a = 7.125 Å, b = 7.125 Å, c = 7.125 Å
α = 33.78°, β = 33.78°, γ = 33.78°
Atoms (fractional coordinates):
1 Pm 0.000 0.000 0.000
2 Sm 0.499 0.499 0.499
3 As 0.249 0.249 0.249
4 S 0.750 0.750 0.750


[6]
Entry from Alexandria: Pm4SnAsS2 after structural relaxation (GGA-PBE).

Calculated values
**SG**: P2/m
**Formation energy without anion corrections**: -1.554 eV per atom
**Total magnetic moment**: 0.00 μB/cell

a = 7.279 Å, b = 4.209 Å, c = 7.335 Å
α = 90.00°, β = 109.53°, γ = 90.00°
Atoms (fractional coordinates):
1 Pm 0.237 0.000 0.238
2 Pm 0.244 0.500 0.755
3 Pm 0.756 0.500 0.245
4 Pm 0.763 0.000 0.762
5 Sn 0.500 0.500 0.500
6 As 0.500 0.000 0.000
7 S 0.000 0.000 0.500
8 S 0.000 0.500 0.000


[7]
Entry from Alexandria: Pm6SnAs3S2 after structural relaxation (GGA-PBE).

Calculated values
**SG**: C2/m
**Formation energy without anion corrections**: -1.554 eV per atom
**Total magnetic moment**: 0.00 μB/cell

a = 9.438 Å, b = 9.438 Å, c = 8.488 Å
α = 102.77°, β = 102.77°, γ = 25.74°
Atoms (fractional coordinates):
1 Pm 0.002 0.002 0.263
2 Pm 0.328 0.328 0.914
3 Pm 0.333 0.333 0.416
4 Pm 0.667 0.667 0.584
5 Pm 0.672 0.672 0.086
6 Pm 0.998 0.998 0.737
7 Sn 0.500 0.500 0.000
8 As 0.166 0.166 0.831
9 As 0.500 0.500 0.500
10 As 0.834 0.834 0.169
11 S 0.170 0.170 0.339
12 S 0.830 0.830 0.661


[8]
Entry from Alexandria: SrPmAsS after structural relaxation (GGA-PBE).

Calculated values
**SG**: R3m
**Formation energy without anion corrections**: -1.745 eV per atom
**Total magnetic moment**: 0.00 μB/cell

a = 7.454 Å, b = 7.454 Å, c = 7.454 Å
α = 33.26°, β = 33.26°, γ = 33.26°
Atoms (fractional coordinates):
1 Sr 0.000 0.000 0.000
2 Pm 0.501 0.501 0.501
3 As 0.243 0.243 0.243
4 S 0.754 0.754 0.754


[9]
Entry from Alexandria: Pm4TeAsS2 after structural relaxation (GGA-PBE).

Calculated values
**SG**: P2/m
**Formation energy without anion corrections**: -1.755 eV per atom
**Total magnetic moment**: 0.00 μB/cell

a = 7.265 Å, b = 4.160 Å, c = 7.329 Å
α = 90.00°, β = 108.96°, γ = 90.00°
Atoms (fractional coordinates):
1 Pm 0.222 0.000 0.222
2 Pm 0.237 0.500 0.762
3 Pm 0.763 0.500 0.238
4 Pm 0.778 0.000 0.778
5 Te 0.500 0.500 0.500
6 As 0.500 0.000 0.000
7 S 0.000 0.000 0.500
8 S 0.000 0.500 0.000


[10]
Entry from Alexandria: Pm4TeAs2S after structural relaxation (GGA-PBE).

Calculated values
**SG**: P2/m
**Formation energy without anion corrections**: -1.638 eV per atom
**Total magnetic moment**: 0.00 μB/cell

a = 7.375 Å, b = 4.241 Å, c = 7.396 Å
α = 90.00°, β = 109.28°, γ = 90.00°
Atoms (fractional coordinates):
1 Pm 0.232 0.000 0.231
2 Pm 0.242 0.500 0.760
3 Pm 0.758 0.500 0.240
4 Pm 0.768 0.000 0.769
5 Te 0.500 0.500 0.500
6 As 0.000 0.500 0.000
7 As 0.500 0.000 0.000
8 S 0.000 0.000 0.500


[11]
Entry from Alexandria: Pm6Te3AsS2 after structural relaxation (GGA-PBE).

Calculated values
**SG**: C2/m
**Formation energy without anion corrections**: -1.672 eV per atom
**Total magnetic moment**: 0.00 μB/cell

a = 7.321 Å, b = 7.321 Å, c = 7.616 Å
α = 99.24°, β = 99.24°, γ = 119.99°
Atoms (fractional coordinates):
1 Pm 0.091 0.429 0.789
2 Pm 0.231 0.231 0.209
3 Pm 0.429 0.091 0.789
4 Pm 0.571 0.909 0.211
5 Pm 0.769 0.769 0.791
6 Pm 0.909 0.571 0.211
7 Te 0.000 0.000 0.500
8 Te 0.336 0.664 0.500
9 Te 0.664 0.336 0.500
10 As 0.500 0.500 0.000
11 S 0.167 0.833 0.000
12 S 0.833 0.167 0.000